# 1
Density functional theory data (PBE-GGA) for a relaxed Mg2ScTi crystal.

Unit cell a=10.488 b=10.488 c=10.488 alpha=16.94 beta=16.94 gamma=16.94
Sites, in units of the cell vectors:
Mg  0.247  0.247  0.247
Mg  0.753  0.753  0.753
Sc  0.000  0.000  0.000
Ti  0.500  0.500  0.500

Calculated values
* V: 21.37 Å³/atom
* formation enthalpy at 0 K: 146.0 meV/atom
* crystal system: trigonal

---

# 2
Density functional theory data (PBE-GGA) for a relaxed MgSc2Ti crystal.

Unit cell a=4.611 b=4.611 c=4.154 alpha=90.00 beta=90.00 gamma=90.00
Sites, in units of the cell vectors:
Mg  0.000  0.000  0.000
Sc  0.000  0.500  0.500
Sc  0.500  0.000  0.500
Ti  0.500  0.500  0.000

Calculated values
* V: 22.08 Å³/atom
* formation enthalpy at 0 K: 118.6 meV/atom
* crystal system: tetragonal

---

# 3
Density functional theory data (PBE-GGA) for a relaxed Mg2ScTi crystal.

Unit cell a=4.907 b=4.907 c=3.482 alpha=90.00 beta=90.00 gamma=90.00
Sites, in units of the cell vectors:
Mg  0.000  0.500  0.000
Mg  0.500  0.000  0.000
Sc  0.000  0.000  0.500
Ti  0.500  0.500  0.500

Calculated values
* V: 20.96 Å³/atom
* formation enthalpy at 0 K: 138.0 meV/atom
* crystal system: tetragonal

---

# 4
Density functional theory data (PBE-GGA) for a relaxed MgScTi2 crystal.

Unit cell a=4.255 b=4.255 c=4.371 alpha=90.00 beta=90.00 gamma=90.00
Sites, in units of the cell vectors:
Mg  0.000  0.000  0.000
Sc  0.500  0.500  0.000
Ti  0.000  0.500  0.500
Ti  0.500  0.000  0.500

Calculated values
* V: 19.78 Å³/atom
* formation enthalpy at 0 K: 185.1 meV/atom
* crystal system: tetragonal

---

# 5
Density functional theory data (PBE-GGA) for a relaxed MgSc2Ti crystal.

Unit cell a=10.861 b=10.861 c=10.861 alpha=157.75 beta=157.75 gamma=31.67
Sites, in units of the cell vectors:
Mg  0.000  0.000  0.000
Mg  0.750  0.250  0.500
Sc  0.131  0.625  0.006
Sc  0.375  0.381  0.506
Sc  0.619  0.125  0.994
Sc  0.875  0.869  0.494
Ti  0.250  0.750  0.500
Ti  0.500  0.500  0.000

Calculated values
* V: 22.95 Å³/atom
* formation enthalpy at 0 K: 533.5 meV/atom
* crystal system: tetragonal

---

# 6
Density functional theory data (PBE-GGA) for a relaxed MgSc2Ti crystal.

Unit cell a=10.425 b=10.425 c=10.425 alpha=17.38 beta=17.38 gamma=17.38
Sites, in units of the cell vectors:
Mg  0.000  0.000  0.000
Sc  0.244  0.244  0.244
Sc  0.756  0.756  0.756
Ti  0.500  0.500  0.500

Calculated values
* V: 22.06 Å³/atom
* formation enthalpy at 0 K: 56.8 meV/atom
* crystal system: trigonal

---

# 7
Density functional theory data (PBE-GGA) for a relaxed Mg2ScTi2 crystal.

Unit cell a=8.041 b=8.041 c=3.174 alpha=90.00 beta=90.00 gamma=90.00
Sites, in units of the cell vectors:
Mg  0.137  0.363  0.000
Mg  0.363  0.863  0.000
Mg  0.637  0.137  0.000
Mg  0.863  0.637  0.000
Sc  0.000  0.000  0.000
Sc  0.500  0.500  0.000
Ti  0.162  0.662  0.500
Ti  0.338  0.162  0.500
Ti  0.662  0.838  0.500
Ti  0.838  0.338  0.500

Calculated values
* V: 20.52 Å³/atom
* formation enthalpy at 0 K: 318.7 meV/atom
* crystal system: tetragonal

---

# 8
Density functional theory data (PBE-GGA) for a relaxed MgSc2Ti crystal.

Unit cell a=10.482 b=10.482 c=10.482 alpha=17.25 beta=17.25 gamma=17.25
Sites, in units of the cell vectors:
Mg  0.000  0.000  0.000
Sc  0.577  0.577  0.577
Sc  0.756  0.756  0.756
Ti  0.166  0.166  0.166

Calculated values
* V: 22.10 Å³/atom
* formation enthalpy at 0 K: 74.2 meV/atom
* crystal system: trigonal

---

# 9
Density functional theory data (PBE-GGA) for a relaxed MgScTi2Tl crystal.

Unit cell a=4.924 b=4.924 c=4.999 alpha=90.00 beta=90.00 gamma=90.00
Sites, in units of the cell vectors:
Mg  0.000  0.000  0.000
Sc  0.500  0.500  0.500
Ti  0.000  0.500  0.000
Ti  0.500  0.000  0.000
Tl  0.000  0.000  0.500

Calculated values
* V: 24.24 Å³/atom
* formation enthalpy at 0 K: 969.6 meV/atom
* crystal system: tetragonal

---

# 10
Density functional theory data (PBE-GGA) for a relaxed MgScTi2Tl crystal.

Unit cell a=4.854 b=4.854 c=5.043 alpha=90.00 beta=90.00 gamma=90.00
Sites, in units of the cell vectors:
Mg  0.000  0.000  0.000
Sc  0.000  0.000  0.500
Ti  0.000  0.500  0.000
Ti  0.500  0.000  0.000
Tl  0.500  0.500  0.500

Calculated values
* V: 23.77 Å³/atom
* formation enthalpy at 0 K: 927.2 meV/atom
* crystal system: tetragonal

---

# 11
Density functional theory data (PBE-GGA) for a relaxed TmMgScTi crystal.

Unit cell a=5.096 b=5.096 c=5.096 alpha=60.00 beta=60.00 gamma=60.00
Sites, in units of the cell vectors:
Tm  0.000  0.000  0.000
Mg  0.750  0.750  0.750
Sc  0.500  0.500  0.500
Ti  0.250  0.250  0.250

Calculated values
* V: 23.39 Å³/atom
* formation enthalpy at 0 K: 148.5 meV/atom
* crystal system: cubic

---

# 12
Density functional theory data (PBE-GGA) for a relaxed YMgScTi crystal.

Unit cell a=5.135 b=5.135 c=5.135 alpha=60.00 beta=60.00 gamma=60.00
Sites, in units of the cell vectors:
Y  0.000  0.000  0.000
Mg  0.250  0.250  0.250
Sc  0.500  0.500  0.500
Ti  0.750  0.750  0.750

Calculated values
* V: 23.94 Å³/atom
* formation enthalpy at 0 K: 149.5 meV/atom
* crystal system: cubic

---

# 13
Density functional theory data (PBE-GGA) for a relaxed MgSc8Tl2 crystal.

Unit cell a=8.251 b=8.251 c=5.247 alpha=103.98 beta=103.98 gamma=120.01
Sites, in units of the cell vectors:
Mg  0.000  0.000  0.000
Sc  0.103  0.327  0.634
Sc  0.212  0.788  0.000
Sc  0.327  0.103  0.634
Sc  0.409  0.409  0.201
Sc  0.591  0.591  0.799
Sc  0.673  0.897  0.366
Sc  0.788  0.212  0.000
Sc  0.897  0.673  0.366
Tl  0.305  0.695  0.500
Tl  0.695  0.305  0.500

Calculated values
* V: 24.62 Å³/atom
* formation enthalpy at 0 K: 7.0 meV/atom
* crystal system: monoclinic

---

# 14
Density functional theory data (PBE-GGA) for a relaxed MgScTl2 crystal.

Unit cell a=6.796 b=6.796 c=6.796 alpha=151.19 beta=130.73 gamma=58.08
Sites, in units of the cell vectors:
Mg  0.000  0.000  0.000
Sc  0.500  0.500  0.000
Tl  0.247  0.247  0.000
Tl  0.753  0.753  0.000

Calculated values
* V: 28.45 Å³/atom
* formation enthalpy at 0 K: 181.6 meV/atom
* crystal system: orthorhombic

---

# 15
Density functional theory data (PBE-GGA) for a relaxed Mg3Sc3Tl2 crystal.

Unit cell a=4.647 b=4.711 c=8.277 alpha=90.00 beta=90.00 gamma=90.00
Sites, in units of the cell vectors:
Mg  0.000  0.000  0.000
Mg  0.500  0.000  0.245
Mg  0.500  0.000  0.755
Sc  0.000  0.000  0.500
Sc  0.500  0.500  0.000
Sc  0.500  0.500  0.500
Tl  0.000  0.500  0.250
Tl  0.000  0.500  0.750

Calculated values
* V: 22.65 Å³/atom
* formation enthalpy at 0 K: -180.6 meV/atom
* crystal system: orthorhombic

---

# 16
Density functional theory data (PBE-GGA) for a relaxed MgScTl crystal.

Unit cell a=6.619 b=6.619 c=6.619 alpha=150.38 beta=150.38 gamma=42.38
Sites, in units of the cell vectors:
Mg  0.000  0.000  0.000
Sc  0.675  0.675  0.000
Tl  0.339  0.339  0.000

Calculated values
* V: 23.56 Å³/atom
* formation enthalpy at 0 K: -105.9 meV/atom
* crystal system: tetragonal

---

# 17
Density functional theory data (PBE-GGA) for a relaxed Mg2Sc2Tl crystal.

Unit cell a=4.960 b=4.968 c=6.167 alpha=66.48 beta=66.36 gamma=60.12
Sites, in units of the cell vectors:
Mg  0.190  0.190  0.430
Mg  0.810  0.810  0.570
Sc  0.396  0.397  0.810
Sc  0.604  0.603  0.190
Tl  0.000  0.000  0.000

Calculated values
* V: 23.37 Å³/atom
* formation enthalpy at 0 K: -120.3 meV/atom
* crystal system: triclinic

---

# 18
Density functional theory data (PBE-GGA) for a relaxed MgScTl2 crystal.

Unit cell a=3.366 b=3.366 c=9.664 alpha=90.00 beta=90.00 gamma=113.36
Sites, in units of the cell vectors:
Mg  0.000  0.000  0.000
Sc  0.000  0.000  0.500
Tl  0.500  0.500  0.248
Tl  0.500  0.500  0.752

Calculated values
* V: 25.12 Å³/atom
* formation enthalpy at 0 K: -34.2 meV/atom
* crystal system: orthorhombic

---

# 19
Density functional theory data (PBE-GGA) for a relaxed MgSc2Tl crystal.

Unit cell a=5.366 b=5.366 c=5.732 alpha=100.69 beta=100.69 gamma=36.62
Sites, in units of the cell vectors:
Mg  0.000  0.000  0.000
Sc  0.247  0.247  0.749
Sc  0.753  0.753  0.251
Tl  0.500  0.500  0.500

Calculated values
* V: 24.14 Å³/atom
* formation enthalpy at 0 K: -83.7 meV/atom
* crystal system: monoclinic

---

# 20
Density functional theory data (PBE-GGA) for a relaxed MgScTl crystal.

Unit cell a=4.812 b=4.812 c=4.812 alpha=60.00 beta=60.00 gamma=60.00
Sites, in units of the cell vectors:
Mg  0.000  0.000  0.000
Sc  0.500  0.500  0.500
Tl  0.750  0.750  0.750

Calculated values
* V: 26.27 Å³/atom
* formation enthalpy at 0 K: -64.1 meV/atom
* crystal system: cubic